1.
K2LaHoSe4 (PBE, optimized geometry); formation energy without anion corrections = -1.788 eV per atom; total magnetization = 0.0 Bohr magnetons per cell; space-group type = P2/m (10); calculated total energy = -4.99 eV per atom
1.0
7.4868 0.0000 0.0000
0.0000 4.3192 0.0000
-2.4915 0.0000 7.6874
K La Ho Se
2 1 1 4
direct
0.0000 0.0000 0.0000
0.5000 0.5000 0.0000
0.0000 0.5000 0.5000
0.5000 0.0000 0.5000
0.2485 0.0000 0.7099
0.2756 0.5000 0.2945
0.7244 0.5000 0.7055
0.7515 0.0000 0.2901

2.
K3IrI (PBE, optimized geometry); formation energy without anion corrections = 0.085 eV per atom; total magnetization = 1.0 Bohr magnetons per cell; space-group type = Pm-3m (221); distance to the lowest polymorph of the same formula = 0.0 meV/atom; calculated total energy = -2.66 eV per atom
1.0
6.0972 0.0000 0.0000
0.0000 6.0972 0.0000
0.0000 0.0000 6.0972
K Ir I
3 1 1
direct
0.0000 0.0000 0.5000
0.0000 0.5000 0.0000
0.5000 0.0000 0.0000
0.0000 0.0000 0.0000
0.5000 0.5000 0.5000